VASP calculation (GGA+U) on an optimized crystal structure of SnW3O9.

Calculated values
theoretical density: 6.976 g/cm3
uncorrected energy: -7.272 eV per atom
total magnetization: 1.68 μB per formula unit

abc: 7.584 7.721 7.616
angles: 90.00 119.64 90.00
Space group P2_1/m (No. 11)
One atom of each set of equivalent atoms:
Sn 0.051 0.250 0.487
W 0.001 0.750 0.999
W 0.492 0.750 0.498
W 0.498 0.250 0.000
O 0.000 0.000 0.000
O 0.199 0.750 0.904
O 0.203 0.250 0.305
O 0.203 0.250 0.923
O 0.224 0.750 0.283
O 0.393 0.250 0.692
O 0.429 0.750 0.707
O 0.500 0.000 0.000
O 0.500 0.000 0.500